HoErAu2 | PBE | optimized geometry

Computed properties:
E above lowest polymorph: 0.010 eV per atom
size of the total moment: 0.008 Bohr magnetons per cell
total energy: -38.44 eV for the cell shown
SG: Pmn2_1 (31)
ΔE_f: -3.547 eV/f.u.

Unit cell a=4.666 b=7.143 c=5.576 alpha=90.00 beta=90.00 gamma=90.00
Sites, in units of the cell vectors:
Ho  0.000  0.062  0.000
Ho  0.500  0.938  0.500
Er  0.000  0.562  0.191
Er  0.500  0.438  0.691
Au  0.000  0.211  0.507
Au  0.000  0.707  0.684
Au  0.500  0.293  0.184
Au  0.500  0.789  0.007

HgPbSO | PBE | optimized geometry

Computed properties:
E above lowest polymorph: 0.316 eV per atom
total energy: -27.78 eV for the cell shown
SG: P4/nmm (129)

Unit cell a=5.101 b=5.101 c=8.154 alpha=90.00 beta=90.00 gamma=90.00
Sites, in units of the cell vectors:
Hg  0.250  0.250  0.190
Hg  0.750  0.750  0.810
Pb  0.250  0.750  0.500
Pb  0.750  0.250  0.500
S  0.250  0.250  0.682
S  0.750  0.750  0.318
O  0.250  0.250  0.871
O  0.750  0.750  0.129

LaDySi2Mo2C | PBE | optimized geometry

Computed properties:
size of the total moment: 0.007 Bohr magnetons per cell
total energy: -55.07 eV for the cell shown
SG: Cm (8)

Unit cell a=5.957 b=5.957 c=7.320 alpha=123.76 beta=123.76 gamma=38.26
Sites, in units of the cell vectors:
La  0.000  0.000  0.000
Dy  0.849  0.849  0.404
Si  0.289  0.289  0.028
Si  0.556  0.556  0.372
Mo  0.216  0.216  0.615
Mo  0.627  0.627  0.777
C  0.419  0.419  0.685

AlAgO2 | PBE | optimized geometry

Computed properties:
total energy: -92.38 eV for the cell shown
SG: Pnma (62)

Unit cell a=12.113 b=2.823 c=5.113 alpha=90.00 beta=90.00 gamma=90.00
Sites, in units of the cell vectors:
Al  0.220  0.250  0.087
Al  0.280  0.750  0.587
Al  0.720  0.250  0.413
Al  0.780  0.750  0.913
Ag  0.012  0.250  0.741
Ag  0.488  0.750  0.241
Ag  0.512  0.250  0.759
Ag  0.988  0.750  0.259
O  0.165  0.750  0.846
O  0.169  0.750  0.317
O  0.331  0.250  0.817
O  0.335  0.250  0.346
O  0.665  0.750  0.654
O  0.669  0.750  0.183
O  0.831  0.250  0.683
O  0.835  0.250  0.154

GdHo2Cu4Sn2Ge2 | PBE | optimized geometry

Computed properties:
E above lowest polymorph: 0.067 eV per atom
size of the total moment: 0.000 Bohr magnetons per cell
total energy: -51.71 eV for the cell shown
SG: Immm (71)

Unit cell a=8.233 b=8.233 c=8.233 alpha=149.85 beta=129.96 gamma=59.54
Sites, in units of the cell vectors:
Gd  0.000  0.000  0.000
Ho  0.365  0.865  0.500
Ho  0.635  0.135  0.500
Cu  0.011  0.323  0.688
Cu  0.366  0.677  0.688
Cu  0.634  0.323  0.312
Cu  0.989  0.677  0.312
Sn  0.300  0.500  0.800
Sn  0.700  0.500  0.200
Ge  0.217  0.217  0.000
Ge  0.783  0.783  0.000

Fe3P5Au | PBE | optimized geometry

Computed properties:
size of the total moment: 1.272 Bohr magnetons per cell
total energy: -54.19 eV for the cell shown
SG: P6/mmm (191)

Unit cell a=4.792 b=4.792 c=6.665 alpha=90.00 beta=90.00 gamma=120.00
Sites, in units of the cell vectors:
Fe  0.000  0.500  0.000
Fe  0.500  0.000  0.000
Fe  0.500  0.500  0.000
P  0.000  0.000  0.000
P  0.333  0.667  0.272
P  0.333  0.667  0.728
P  0.667  0.333  0.272
P  0.667  0.333  0.728
Au  0.000  0.000  0.500

TbMo2Os2 | PBE | optimized geometry

Computed properties:
E above lowest polymorph: 0.000 eV per atom
size of the total moment: 0.004 Bohr magnetons per cell
total energy: -49.09 eV for the cell shown
SG: I4/mmm (139)
ΔE_f: -0.316 eV/f.u.

Unit cell a=6.044 b=6.044 c=6.044 alpha=138.21 beta=138.21 gamma=60.58
Sites, in units of the cell vectors:
Tb  0.000  0.000  0.000
Mo  0.250  0.750  0.500
Mo  0.750  0.250  0.500
Os  0.378  0.378  0.000
Os  0.622  0.622  0.000

Cu19Ag | PBE | optimized geometry

Computed properties:
E above lowest polymorph: 0.000 eV per atom
total energy: -73.00 eV for the cell shown
SG: P-1 (2)
ΔE_f: 0.445 eV/f.u.

Unit cell a=4.466 b=5.720 c=9.986 alpha=106.48 beta=94.36 gamma=97.00
Sites, in units of the cell vectors:
Cu  0.000  0.000  0.000
Cu  0.002  0.398  0.607
Cu  0.002  0.798  0.196
Cu  0.240  0.857  0.654
Cu  0.248  0.039  0.448
Cu  0.249  0.244  0.243
Cu  0.250  0.450  0.049
Cu  0.251  0.651  0.851
Cu  0.498  0.101  0.903
Cu  0.499  0.297  0.707
Cu  0.501  0.703  0.293
Cu  0.502  0.899  0.097
Cu  0.749  0.349  0.149
Cu  0.750  0.550  0.951
Cu  0.751  0.756  0.757
Cu  0.752  0.961  0.552
Cu  0.760  0.143  0.346
Cu  0.998  0.202  0.804
Cu  0.998  0.602  0.393
Ag  0.500  0.500  0.500

TaFeSiHg | PBE | optimized geometry

Computed properties:
E above lowest polymorph: 0.155 eV per atom
size of the total moment: 0.907 Bohr magnetons per cell
total energy: -23.52 eV for the cell shown
SG: F-43m (216)

Unit cell a=4.496 b=4.496 c=4.496 alpha=60.00 beta=60.00 gamma=60.00
Sites, in units of the cell vectors:
Ta  0.000  0.000  0.000
Fe  0.750  0.750  0.750
Si  0.500  0.500  0.500
Hg  0.250  0.250  0.250

Al16W13 | PBE | optimized geometry

Computed properties:
E above lowest polymorph: 0.000 eV per atom
size of the total moment: 0.003 Bohr magnetons per cell
total energy: -223.74 eV for the cell shown
SG: I-43m (217)

Unit cell a=8.558 b=8.558 c=8.558 alpha=109.47 beta=109.47 gamma=109.47
Sites, in units of the cell vectors:
Al  0.000  0.000  0.662
Al  0.000  0.407  0.683
Al  0.000  0.662  0.000
Al  0.000  0.683  0.407
Al  0.276  0.593  0.593
Al  0.317  0.317  0.724
Al  0.317  0.724  0.317
Al  0.338  0.338  0.338
Al  0.407  0.000  0.683
Al  0.407  0.683  0.000
Al  0.593  0.276  0.593
Al  0.593  0.593  0.276
Al  0.662  0.000  0.000
Al  0.683  0.000  0.407
Al  0.683  0.407  0.000
Al  0.724  0.317  0.317
W  0.000  0.000  0.000
W  0.000  0.186  0.369
W  0.000  0.369  0.186
W  0.183  0.814  0.814
W  0.186  0.000  0.369
W  0.186  0.369  0.000
W  0.369  0.000  0.186
W  0.369  0.186  0.000
W  0.631  0.631  0.817
W  0.631  0.817  0.631
W  0.814  0.183  0.814
W  0.814  0.814  0.183
W  0.817  0.631  0.631

LiCu5Ge2 | PBE | optimized geometry

Computed properties:
total energy: -30.32 eV for the cell shown
SG: P4/mmm (123)

Unit cell a=4.172 b=4.172 c=5.905 alpha=90.00 beta=90.00 gamma=90.00
Sites, in units of the cell vectors:
Li  0.000  0.000  0.000
Cu  0.000  0.500  0.249
Cu  0.000  0.500  0.751
Cu  0.500  0.000  0.249
Cu  0.500  0.000  0.751
Cu  0.500  0.500  0.500
Ge  0.000  0.000  0.500
Ge  0.500  0.500  0.000

GdGeHO4 | PBE | optimized geometry

Computed properties:
E above lowest polymorph: 0.067 eV per atom
size of the total moment: 0.000 Bohr magnetons per cell
total energy: -95.16 eV for the cell shown
SG: P2_1/m (11)

Unit cell a=4.565 b=6.547 c=5.205 alpha=90.00 beta=97.78 gamma=90.00
Sites, in units of the cell vectors:
Gd  0.055  0.250  0.207
Gd  0.945  0.750  0.793
Ge  0.440  0.750  0.313
Ge  0.560  0.250  0.687
H  0.500  0.000  0.000
H  0.500  0.500  0.000
O  0.174  0.250  0.664
O  0.285  0.549  0.100
O  0.285  0.951  0.100
O  0.380  0.750  0.633
O  0.620  0.250  0.367
O  0.715  0.049  0.900
O  0.715  0.451  0.900
O  0.826  0.750  0.336